(1)
A relaxed structure of CdOsCl2. Source: Alexandria via LeMat-Bulk, functional PBE.

The space-group type is Immm. The calculation puts the volume at 24.4 A^3/atom. Its energy above the most stable polymorph in this dataset is 0.059 eV/atom. The total DFT energy (no corrections) comes out at -3.86 eV/atom.

a = 7.144 Å, b = 7.144 Å, c = 4.987 Å
α = 69.62°, β = 69.62°, γ = 24.27°
Fractional positions:
1 Cl 0.895 0.895 0.105
2 Cl 0.605 0.605 0.395
3 Os 0.250 0.250 0.250
4 Cd 0.750 0.750 0.750



(2)
A relaxed structure of Pr2Dy4ErSc. Source: Alexandria via LeMat-Bulk, functional PBE.

The space-group type is P4/mmm. The calculation puts the volume at 31.6 A^3/atom. For the formation energy, the calculation gives 0.037 eV per atom. The total DFT energy (no corrections) comes out at -4.82 eV/atom.

a = 5.032 Å, b = 5.027 Å, c = 11.185 Å
α = 63.27°, β = 90.00°, γ = 90.00°
Fractional positions:
1 Pr 0.000 0.000 0.000
2 Pr 0.500 0.000 0.500
3 Dy 0.000 0.747 0.754
4 Dy 0.000 0.253 0.246
5 Dy 0.500 0.754 0.246
6 Dy 0.500 0.246 0.754
7 Er 0.000 0.500 0.500
8 Sc 0.500 0.500 0.000



(3)
A relaxed structure of Tb3NiAu2. Source: Alexandria via LeMat-Bulk, functional PBE.

The space-group type is Pnma. The calculation puts the volume at 23.5 A^3/atom. For the formation energy, the calculation gives -0.671 eV per atom. The total DFT energy (no corrections) comes out at -5.04 eV/atom.

a = 4.466 Å, b = 10.647 Å, c = 11.844 Å
α = 90.00°, β = 90.00°, γ = 90.00°
Fractional positions:
1 Tb 0.250 0.377 0.052
2 Tb 0.750 0.623 0.948
3 Tb 0.750 0.877 0.448
4 Tb 0.250 0.123 0.552
5 Tb 0.250 0.707 0.237
6 Tb 0.750 0.293 0.763
7 Tb 0.750 0.207 0.263
8 Tb 0.250 0.793 0.737
9 Tb 0.250 0.439 0.389
10 Tb 0.750 0.561 0.611
11 Tb 0.750 0.939 0.111
12 Tb 0.250 0.061 0.889
13 Ni 0.250 0.128 0.124
14 Ni 0.750 0.872 0.876
15 Ni 0.750 0.628 0.376
16 Ni 0.250 0.372 0.624
17 Au 0.250 0.698 0.497
18 Au 0.750 0.302 0.503
19 Au 0.750 0.198 0.003
20 Au 0.250 0.802 0.997
21 Au 0.250 0.996 0.309
22 Au 0.750 0.004 0.691
23 Au 0.750 0.496 0.191
24 Au 0.250 0.504 0.809



(4)
A relaxed structure of LiScRe2. Source: Alexandria via LeMat-Bulk, functional PBE.

The space-group type is C2/m. The calculation puts the volume at 15.6 A^3/atom. For the formation energy, the calculation gives 0.159 eV per atom. Its energy above the most stable polymorph in this dataset is 0.179 eV/atom. The total DFT energy (no corrections) comes out at -8.13 eV/atom.

a = 5.352 Å, b = 5.352 Å, c = 2.701 Å
α = 80.11°, β = 80.11°, γ = 120.55°
Fractional positions:
1 Li 0.000 0.500 0.500
2 Re 0.000 0.000 0.000
3 Re 0.500 0.500 0.000
4 Sc 0.500 0.000 0.500



(5)
A relaxed structure of SiHg3Pd. Source: Alexandria via LeMat-Bulk, functional PBE.

The space-group type is Pm-3m. The calculation puts the volume at 25.4 A^3/atom. Its energy above the most stable polymorph in this dataset is 0.000 eV/atom. The total DFT energy (no corrections) comes out at -1.74 eV/atom.

a = 5.027 Å, b = 5.027 Å, c = 5.027 Å
α = 90.00°, β = 90.00°, γ = 90.00°
Fractional positions:
1 Si 0.000 0.000 0.000
2 Hg 0.000 0.500 0.000
3 Hg 0.000 0.000 0.500
4 Hg 0.500 0.000 0.000
5 Pd 0.500 0.500 0.500



(6)
A relaxed structure of Ta2TlBr2. Source: Alexandria via LeMat-Bulk, functional PBE.

The space-group type is I4/mmm. The calculation puts the volume at 22.5 A^3/atom. Its energy above the most stable polymorph in this dataset is 0.000 eV/atom. The total DFT energy (no corrections) comes out at -5.22 eV/atom.

a = 4.261 Å, b = 4.261 Å, c = 6.897 Å
α = 72.00°, β = 72.00°, γ = 90.00°
Fractional positions:
1 Tl 0.000 0.000 0.000
2 Br 0.750 0.250 0.500
3 Br 0.250 0.750 0.500
4 Ta 0.394 0.394 0.212
5 Ta 0.606 0.606 0.788



(7)
A relaxed structure of K3PuAl2O8. Source: Alexandria via LeMat-Bulk, functional PBE.

The space-group type is P-3m1. The calculation puts the volume at 16.6 A^3/atom. The total DFT energy (no corrections) comes out at -6.88 eV/atom.

a = 5.784 Å, b = 5.784 Å, c = 8.028 Å
α = 90.00°, β = 90.00°, γ = 120.00°
Site moments in Bohr magnetons follow the coordinates.
Fractional positions:
1 K 0.333 0.667 0.744  0.00
2 K 0.667 0.333 0.256  0.00
3 K 0.000 0.000 0.000  0.00
4 Pu 0.000 0.000 0.500  2.10
5 Al 0.333 0.667 0.269  0.00
6 Al 0.667 0.333 0.731  0.00
7 O 0.333 0.667 0.056  -0.25
8 O 0.667 0.333 0.944  -0.25
9 O 0.167 0.833 0.351  -0.08
10 O 0.833 0.167 0.649  -0.08
11 O 0.167 0.333 0.351  -0.08
12 O 0.833 0.667 0.649  -0.08
13 O 0.667 0.833 0.351  -0.08
14 O 0.333 0.167 0.649  -0.08



(8)
A relaxed structure of SiAu. Source: Alexandria via LeMat-Bulk, functional PBE.

The space-group type is I4_1/amd. The calculation puts the volume at 17.1 A^3/atom. The total DFT energy (no corrections) comes out at -4.00 eV/atom.

a = 5.050 Å, b = 5.050 Å, c = 5.050 Å
α = 132.71°, β = 132.71°, γ = 69.11°
Fractional positions:
1 Au 0.000 0.000 0.000
2 Au 0.250 0.750 0.500
3 Si 0.500 0.500 0.000
4 Si 0.750 0.250 0.500



Q: Which of these has the lowest volume?
A: LiScRe2



Q: What is the volume in the fourth record?
A: 15.6 A^3/atom